The following is a DFT calculation (PBE) of crystalline InReS2 at its relaxed geometry.

The space group is I-42d (No. 122) and the conventional cell measures 7.090, 7.090 and 7.597 Å, with angles of 90.00, 90.00 and 90.00 degrees. The asymmetric unit holds In at (0.000, 0.000, 0.000), Re at (0.000, 0.000, 0.500) and S at (0.144, 0.250, 0.625).

As for the uncorrected formation energy: 0.024 eV/atom. The crystal system is tetragonal. The density of states at the Fermi level comes out at 2.71 states/eV/f.u.